This record from the Alexandria database describes a relaxed structure of HoAlCu. The functional is GGA-PBE.

Cell and atoms, written as extended XYZ:
```
3
Lattice="4.4712 0.0000 0.0000 2.2356 3.8722 0.0000 2.2356 1.2907 3.6507" Properties=species:S:1:pos:R:3 pbc="T T T"
Cu 2.2356 1.2907 0.9127
Al 4.4712 2.5814 1.8254
Ho 0.0000 0.0000 0.0000
```

Formation energy, eV/atom: -0.26
Crystal system: cubic

=====

This record from the Alexandria database describes a relaxed structure of SrLaPbF2. The functional is GGA-PBE.

Cell and atoms, written as extended XYZ:
```
5
Lattice="-1.8232 2.3878 3.4994 -9.6922 -4.2919 -2.1211 0.9208 -3.4952 2.8647" Properties=species:S:1:pos:R:3 pbc="T T T"
Sr 0.0000 0.0000 0.0000
F 0.4604 -1.7476 1.4324
F -0.9116 1.1939 1.7497
La -4.8461 -2.1459 -1.0605
Pb -5.2973 -2.6997 2.1215
```

Formation energy without anion corrections, eV per atom: -1.94
Crystal system: tetragonal

=====

This record from the Alexandria database describes a relaxed structure of Ce2YBi4. The functional is GGA-PBE.

Cell and atoms, written as extended XYZ:
```
14
Lattice="7.7757 0.0000 -2.7589 -3.8986 6.7331 -2.7459 0.0216 0.0000 8.2506" Properties=species:S:1:pos:R:3 pbc="T T T"
Bi 3.2787 0.6347 0.2310
Bi 1.9638 5.0339 0.6068
Bi -0.6091 2.7318 1.6104
Bi 5.2098 4.0013 1.6299
Bi 5.1315 1.6991 4.3905
Bi 1.9530 5.0657 -3.5185
Bi -2.5767 6.0983 0.2634
Bi 1.2436 1.6674 5.7700
Ce 2.4353 2.5178 2.7533
Ce 6.3232 0.8487 1.3738
Ce -0.4860 4.2152 -1.3803
Ce -0.4752 5.8844 2.7450
Y 3.8879 3.3665 -1.3794
Y 0.0000 0.0000 0.0000
```

Formation energy, eV/atom: -0.69
Crystal system: tetragonal

=====

This record from the Alexandria database describes a relaxed structure of Pu2PtN. The functional is GGA-PBE.

Cell and atoms, written as extended XYZ:
```
4
Lattice="-2.0460 -2.5007 -2.2972 1.8287 -1.9487 -2.9284 0.9622 -5.1876 1.3694" Properties=species:S:1:pos:R:3 pbc="T T T"
Pu 0.4141 -6.7102 -3.3268
Pu 0.3308 -2.9269 -0.5293
N 0.3725 -4.8185 -1.9280
Pt 0.0000 0.0000 0.0000
```

Energy above the most stable polymorph in this dataset, meV per atom: 541
Formation energy without anion corrections, eV per atom: -0.10
Crystal system: trigonal

=====

This record from the Alexandria database describes a relaxed structure of CsSrPrCl6. The functional is GGA-PBE.

Cell and atoms, written as extended XYZ:
```
18
Lattice="7.5810 0.0000 0.0000 -3.7905 6.5653 0.0000 0.0000 0.0000 14.7814" Properties=species:S:1:pos:R:3 pbc="T T T"
Cl 1.3559 2.5228 5.2654
Cl 4.7181 0.0871 12.6561
Cl -1.3559 2.5228 2.1253
Cl -2.2836 4.1296 5.2654
Cl 1.5069 2.4357 12.6561
Cl 2.8628 0.0871 9.5160
Cl -0.9277 6.4782 2.1253
Cl 0.9277 6.4782 5.2654
Cl 5.1464 4.0425 12.6561
Cl 6.0741 2.4357 9.5160
Cl 2.4345 4.0425 9.5160
Cl 2.2836 4.1296 2.1253
Pr 0.0000 4.3769 3.6953
Pr 3.7905 2.1884 11.0860
Sr 3.7905 2.1884 3.6953
Sr 0.0000 4.3769 11.0860
Cs 0.0000 0.0000 7.3907
Cs 0.0000 0.0000 0.0000
```

Formation energy without anion corrections, eV per atom: -2.31
Crystal system: trigonal

=====

This record from the Alexandria database describes a relaxed structure of Zn2GeB2Ir5. The functional is GGA-PBE.

Cell and atoms, written as extended XYZ:
```
20
Lattice="2.9053 0.0000 0.0000 0.0000 9.4731 0.0000 0.0000 0.0000 9.4731" Properties=species:S:1:pos:R:3 pbc="T T T"
Ir 1.4527 0.0000 4.7365
Ir 1.4527 1.9944 0.7437
Ir 1.4527 4.7365 0.0000
Ir 1.4527 8.7294 1.9944
Ir 1.4527 0.7437 7.4787
Ir 1.4527 5.4802 6.7310
Ir 1.4527 2.7421 5.4802
Ir 1.4527 6.7310 3.9929
Ir 1.4527 3.9929 2.7421
Ir 1.4527 7.4787 8.7294
Ge 0.0000 0.0000 0.0000
Ge 0.0000 4.7365 4.7365
B 0.0000 1.1930 5.9295
B 0.0000 3.5436 1.1930
B 0.0000 8.2801 3.5436
B 0.0000 5.9295 8.2801
Zn 0.0000 7.8229 6.3868
Zn 0.0000 1.6502 3.0863
Zn 0.0000 3.0863 7.8229
Zn 0.0000 6.3868 1.6502
```

Formation energy, eV/atom: -0.24
Crystal system: tetragonal

=====

This record from the Alexandria database describes a relaxed structure of Th3Bi2Rh. The functional is GGA-PBE.

Cell and atoms, written as extended XYZ:
```
24
Lattice="7.7118 0.0377 -1.4282 -2.9483 7.1260 -1.4282 -0.1180 -0.1775 13.7412" Properties=species:S:1:pos:R:3 pbc="T T T"
Th 2.7142 4.3499 7.6334
Th -1.3314 3.7778 6.0355
Th -0.8378 4.7881 10.0007
Th 0.9890 1.4874 -0.5931
Th 1.6841 2.8007 3.2513
Th 4.5373 0.7755 10.1219
Th -0.0940 5.9067 0.8841
Th 3.7744 5.6763 -2.2633
Th 4.5152 6.5222 1.7019
Th 5.6854 2.5021 0.7628
Th 0.6467 6.7526 4.8493
Th 0.3775 0.2996 9.1829
Bi 3.4845 5.2403 4.5702
Bi 2.7285 4.1034 0.4581
Bi 4.6410 1.1995 3.5561
Bi 5.3345 2.2425 7.3287
Bi 3.8849 0.0625 -0.5561
Bi 1.9169 2.8828 10.4267
Bi 6.0906 3.3795 11.4408
Bi 1.1609 1.7459 6.3145
Rh 0.3778 0.5682 2.0552
Rh -0.7202 4.6970 3.3871
Rh 0.0355 5.8334 7.4976
Rh 4.2676 6.4180 8.8295
```

Formation energy, eV/atom: -0.66
Crystal system: orthorhombic

=====

This record from the Alexandria database describes a relaxed structure of TcPbSe. The functional is GGA-PBE.

Cell and atoms, written as extended XYZ:
```
3
Lattice="-5.4178 2.9864 -3.3814 -6.4851 0.0797 -2.7640 -1.7592 1.1475 2.3575" Properties=species:S:1:pos:R:3 pbc="T T T"
Tc -8.7719 2.4738 -3.5209
Pb -2.0304 1.1988 2.1302
Se -4.6189 1.6884 -0.0396
```

Energy above the most stable polymorph in this dataset, meV per atom: 7
Formation energy without anion corrections, eV per atom: 0.02
Crystal system: tetragonal

=====

no.,theoretical density (Mg/m³)
1,6.711
2,3.407
3,9.256
4,17.191
5,2.592
6,15.109
7,10.738
8,9.568